# PBE-GGA AlCdTe2, optimized geometry
data_AlCdTe2
_chemical_formula_sum 'Al1 Cd1 Te2'
_cell_length_a 7.102
_cell_length_b 7.102
_cell_length_c 7.102
_cell_angle_alpha 148.01
_cell_angle_beta 141.58
_cell_angle_gamma 50.83
_symmetry_space_group_name_H-M 'P 1'
_symmetry_Int_Tables_number 1
_symmetry_space_group_name_Hall 'P 1'
loop_
_atom_site_label
_atom_site_fract_x
_atom_site_fract_y
_atom_site_fract_z
Al1 0.000 0.000 0.000
Cd1 0.500 0.500 0.000
Te1 0.154 0.654 0.500
Te2 0.846 0.346 0.500
# raw formation energy = -0.045 eV per atom
# excess energy over the best structure of this formula in the dataset = 0.255 eV/atom

***

# PBE-GGA HfZn3Pd, optimized geometry
data_HfZn3Pd
_chemical_formula_sum 'Hf1 Zn3 Pd1'
_cell_length_a 4.636
_cell_length_b 4.636
_cell_length_c 4.636
_cell_angle_alpha 90.00
_cell_angle_beta 90.00
_cell_angle_gamma 90.00
_symmetry_space_group_name_H-M 'P 1'
_symmetry_Int_Tables_number 1
_symmetry_space_group_name_Hall 'P 1'
loop_
_atom_site_label
_atom_site_fract_x
_atom_site_fract_y
_atom_site_fract_z
Hf1 0.000 0.000 0.000
Zn1 0.000 0.500 0.500
Zn2 0.500 0.000 0.500
Zn3 0.500 0.500 0.000
Pd1 0.500 0.500 0.500
# ΔH_f (0 K) = 0.326 eV/atom
# excess energy over the best structure of this formula in the dataset = 0.574 eV/atom

***

# PBE-GGA Ca2InSi, optimized geometry
data_Ca2InSi
_chemical_formula_sum 'Ca4 In2 Si2'
_cell_length_a 10.777
_cell_length_b 10.777
_cell_length_c 10.777
_cell_angle_alpha 153.65
_cell_angle_beta 153.65
_cell_angle_gamma 37.61
_symmetry_space_group_name_H-M 'P 1'
_symmetry_Int_Tables_number 1
_symmetry_space_group_name_Hall 'P 1'
loop_
_atom_site_label
_atom_site_fract_x
_atom_site_fract_y
_atom_site_fract_z
Ca1 0.106 0.625 0.981
Ca2 0.375 0.356 0.481
Ca3 0.644 0.125 0.019
Ca4 0.875 0.894 0.519
In1 0.250 0.750 0.500
In2 0.500 0.500 0.000
Si1 0.000 0.000 0.000
Si2 0.750 0.250 0.500
# raw formation energy = 0.156 eV per atom